Density functional theory data (PBE+U) for Al3CoF after structural relaxation.

symmetry = No. 221
N(E_F) = 0.452 states/eV per atom
energy relative to the lowest polymorph listed for this composition = 0.000 eV per atom
uncorrected energy = -4.001 eV per atom
calculated volume = 17.235 Å³/atom

Cell and atoms, written as extended XYZ:
```
5
Lattice="-4.1473 0.8388 1.2675 -1.3970 -3.5545 -2.2189 0.5986 -2.4843 3.6028" Properties=species:S:1:pos:R:3 pbc="T T T"
F -2.4728 -2.6000 1.3257
Al -0.6985 -1.7773 -1.1094
Al -2.0736 0.4194 0.6337
Co 0.0000 0.0000 0.0000
Al 0.2993 -1.2421 1.8014
```